The following is a DFT calculation (PBEsol) of a relaxed structure of CrAuBr.

Calculated values
The calculation puts the density of states at the Fermi level at 0.77 states/eV per atom. Its raw total energy is -5.198 eV/atom. The energy above the most stable polymorph in this dataset is 0.0 meV per atom. For the formation energy from raw total energies, the calculation gives 147 meV per atom.

abc: 3.4796 3.4796 5.8376
angles: 90.00 90.00 120.00
Space group P3m1 (No. 156)
Symmetry-distinct sites (fractional):
1 Cr 0.0000 0.0000 0.0000
2 Au 0.6667 0.3333 0.7128
3 Br 0.3333 0.6667 0.2802

***

The following is a DFT calculation (PBEsol) of a relaxed structure of Cr2PAuBr.

Calculated values
The calculation puts the density of states at the Fermi level at 0.37 states/eV per atom. Its raw total energy is -5.619 eV/atom. For the formation energy from raw total energies, the calculation gives 795 meV per atom.

abc: 4.576 4.576 4.924
angles: 90.00 90.00 90.00
Space group P4/mmm (No. 123)
Symmetry-distinct sites (fractional):
1 Cr 0.000 0.500 0.000
2 P 0.000 0.000 0.000
3 Au 0.500 0.500 0.500
4 Br 0.000 0.000 0.500

***

The following is a DFT calculation (PBEsol) of a relaxed structure of CrAuSe2Br.

Calculated values
The calculation puts the density of states at the Fermi level at 0.74 states/eV per atom. Its raw total energy is -4.373 eV/atom. For the formation energy from raw total energies, the calculation gives 374 meV per atom.

abc: 4.659 4.659 5.047
angles: 90.00 90.00 90.00
Space group P4/mmm (No. 123)
Symmetry-distinct sites (fractional):
1 Cr 0.000 0.000 0.000
2 Au 0.500 0.500 0.500
3 Se 0.000 0.500 0.000
4 Br 0.000 0.000 0.500

***

The following is a DFT calculation (PBEsol) of a relaxed structure of CsAu3Br.

Calculated values
The calculation puts the density of states at the Fermi level at 0.92 states/eV per atom. Its raw total energy is -1.517 eV/atom. For the formation energy from raw total energies, the calculation gives 1400 meV per atom.

abc: 5.654 5.654 5.654
angles: 90.00 90.00 90.00
Space group Pm-3m (No. 221)
Symmetry-distinct sites (fractional):
1 Cs 0.000 0.000 0.000
2 Au 0.000 0.000 0.500
3 Br 0.500 0.500 0.500

***

The following is a DFT calculation (PBEsol) of a relaxed structure of CsAuBr3.

Calculated values
The calculation puts the density of states at the Fermi level at 0.25 states/eV per atom. Its raw total energy is -2.941 eV/atom. For the formation energy from raw total energies, the calculation gives -846 meV per atom.

abc: 5.335 5.335 5.335
angles: 90.00 90.00 90.00
Space group Pm-3m (No. 221)
Symmetry-distinct sites (fractional):
1 Cs 0.000 0.000 0.000
2 Au 0.500 0.500 0.500
3 Br 0.000 0.500 0.500

***

The following is a DFT calculation (PBEsol) of a relaxed structure of CsAuBr2.

Calculated values
The calculation puts the density of states at the Fermi level at 0.00 states/eV per atom. Its raw total energy is -3.030 eV/atom. For the formation energy from raw total energies, the calculation gives -878 meV per atom.

abc: 5.9287 5.9287 21.1863
angles: 90.00 90.00 120.00
Space group R-3m (No. 166, hexagonal axes)
Symmetry-distinct sites (fractional):
1 Cs 0.0000 0.0000 0.0000
2 Au 0.0000 0.0000 0.5000
3 Br 0.0000 0.0000 0.3878

***

The following is a DFT calculation (PBEsol) of a relaxed structure of Cs2InAuBr6.

Calculated values
The calculation puts the density of states at the Fermi level at 0.22 states/eV per atom. Its raw total energy is -3.047 eV/atom. For the formation energy from raw total energies, the calculation gives -1046 meV per atom.

abc: 10.904 10.904 10.904
angles: 90.00 90.00 90.00
Space group Fm-3m (No. 225)
Symmetry-distinct sites (fractional):
1 Cs 0.250 0.250 0.250
2 In 0.000 0.000 0.000
3 Au 0.000 0.000 0.500
4 Br 0.000 0.000 0.250

***

The following is a DFT calculation (PBEsol) of a relaxed structure of CsPbAuBr2.

Calculated values
The calculation puts the density of states at the Fermi level at 0.34 states/eV per atom. Its raw total energy is -2.727 eV/atom. For the formation energy from raw total energies, the calculation gives -206 meV per atom.

abc: 5.632 5.632 12.704
angles: 90.00 90.00 90.00
Space group P4/mmm (No. 123)
Symmetry-distinct sites (fractional):
1 Cs 0.000 0.000 0.000
2 Pb 0.000 0.000 0.500
3 Au 0.500 0.500 0.000
4 Br 0.000 0.500 0.500

***

The following is a DFT calculation (PBEsol) of a relaxed structure of CsRh2AuBr.

Calculated values
The calculation puts the density of states at the Fermi level at 1.84 states/eV per atom. Its raw total energy is -2.677 eV/atom. For the formation energy from raw total energies, the calculation gives 1926 meV per atom.

abc: 4.909 4.909 6.143
angles: 90.00 90.00 90.00
Space group P4/mmm (No. 123)
Symmetry-distinct sites (fractional):
1 Cs 0.000 0.000 0.000
2 Rh 0.000 0.500 0.000
3 Au 0.500 0.500 0.500
4 Br 0.000 0.000 0.500

***

The following is a DFT calculation (PBEsol) of a relaxed structure of Cs2SbAuBr6.

Calculated values
The calculation puts the density of states at the Fermi level at 0.13 states/eV per atom. Its raw total energy is -3.138 eV/atom. For the formation energy from raw total energies, the calculation gives -979 meV per atom.

abc: 11.052 11.052 11.052
angles: 90.00 90.00 90.00
Space group Fm-3m (No. 225)
Symmetry-distinct sites (fractional):
1 Cs 0.250 0.250 0.250
2 Sb 0.000 0.000 0.000
3 Au 0.000 0.000 0.500
4 Br 0.000 0.000 0.253

***

The following is a DFT calculation (PBEsol) of a relaxed structure of Cs2TlAuBr6.

Calculated values
The calculation puts the density of states at the Fermi level at 0.28 states/eV per atom. Its raw total energy is -2.930 eV/atom. For the formation energy from raw total energies, the calculation gives -964 meV per atom.

abc: 11.041 11.041 11.041
angles: 90.00 90.00 90.00
Space group Fm-3m (No. 225)
Symmetry-distinct sites (fractional):
1 Cs 0.250 0.250 0.250
2 Tl 0.000 0.000 0.000
3 Au 0.000 0.000 0.500
4 Br 0.000 0.000 0.259

***

The following is a DFT calculation (PBEsol) of a relaxed structure of CuAuBr2.

Calculated values
The calculation puts the density of states at the Fermi level at 0.29 states/eV per atom. Its raw total energy is -2.808 eV/atom. The energy above the most stable polymorph in this dataset is 187.3 meV per atom. For the formation energy from raw total energies, the calculation gives 192 meV per atom.

abc: 3.685 3.694 6.607
angles: 90.00 90.00 90.00
Space group Pmmm (No. 47)
Symmetry-distinct sites (fractional):
1 Cu 0.000 0.000 0.000
2 Au 0.000 0.500 0.500
3 Br 0.500 0.000 0.500
4 Br 0.500 0.500 0.000